Compound: ReTc2H
Source: the Alexandria database
Functional: PBE-GGA
Structure: relaxed

Computed properties:
D(E_F)   2.83 states/eV/cell
ΔE to the lowest computed polymorph   0.000 eV/atom

a = 6.9135 Å, b = 6.9135 Å, c = 6.9135 Å
α = 23.44°, β = 23.44°, γ = 23.44°
Element x y z (fractional)
Re  0.0000  0.0000  0.0000
Tc  0.5596  0.5596  0.5596
Tc  0.7760  0.7760  0.7760
H  0.1691  0.1691  0.1691